A geometry-optimized RbHg2H2 structure. Source: Alexandria via LeMat-Bulk, functional PBE.

Cell lengths 5.9688, 5.9688, 5.9688 Å; angles 135.60, 135.60, 64.60 degrees
Fractional coordinates of all 5 atoms:
1 Rb 0.0000 0.0000 0.0000
2 Hg 0.3442 0.3442 0.0000
3 Hg 0.6558 0.6558 0.0000
4 H 0.2500 0.7500 0.5000
5 H 0.7500 0.2500 0.5000

Properties
Space-group type ... I4/mmm
Uncorrected energy ... -1.484 eV/atom
Density of states at the Fermi level ... 1.09 states/eV/cell

***

A geometry-optimized RbHgH3 structure. Source: Alexandria via LeMat-Bulk, functional PBE.

Cell lengths 4.1173, 6.7953, 7.3057 Å; angles 88.95, 86.52, 89.40 degrees
Fractional coordinates of all 10 atoms:
1 Rb 0.1895 0.2455 0.2451
2 Rb 0.8105 0.7545 0.7549
3 Hg 0.4188 0.2525 0.7438
4 Hg 0.5812 0.7475 0.2562
5 H 0.2740 0.0317 0.8500
6 H 0.2874 0.4735 0.8469
7 H 0.3016 0.7581 0.4481
8 H 0.6984 0.2419 0.5519
9 H 0.7126 0.5265 0.1531
10 H 0.7260 0.9683 0.1500

Properties
Space-group type ... P-1
Uncorrected energy ... -2.233 eV/atom
Density of states at the Fermi level ... 0.00 states/eV/cell

***

A geometry-optimized RbHg6H2 structure. Source: Alexandria via LeMat-Bulk, functional PBE.

Cell lengths 5.5980, 6.9486, 7.0248 Å; angles 65.11, 69.76, 67.92 degrees
Fractional coordinates of all 9 atoms:
1 Rb 0.0000 0.0000 0.0000
2 Hg 0.0957 0.3498 0.3729
3 Hg 0.3401 0.4585 0.8938
4 Hg 0.3702 0.8546 0.4727
5 Hg 0.6298 0.1454 0.5273
6 Hg 0.6599 0.5415 0.1062
7 Hg 0.9043 0.6502 0.6271
8 H 0.4906 0.2032 0.7998
9 H 0.5094 0.7968 0.2002

Properties
Space-group type ... P-1
Uncorrected energy ... -1.038 eV/atom
Density of states at the Fermi level ... 1.82 states/eV/cell

***

A geometry-optimized RbHgH3 structure. Source: Alexandria via LeMat-Bulk, functional PBE.

Cell lengths 4.1742, 4.1742, 4.1742 Å; angles 90.00, 90.00, 90.00 degrees
Fractional coordinates of all 5 atoms:
1 Rb 0.0000 0.0000 0.0000
2 Hg 0.5000 0.5000 0.5000
3 H 0.0000 0.5000 0.5000
4 H 0.5000 0.0000 0.5000
5 H 0.5000 0.5000 0.0000

Properties
Space-group type ... Pm-3m
Uncorrected energy ... -2.176 eV/atom
Density of states at the Fermi level ... 0.69 states/eV/cell

***

A geometry-optimized RbHgH6 structure. Source: Alexandria via LeMat-Bulk, functional PBE.

Cell lengths 4.6666, 4.6666, 5.4791 Å; angles 98.21, 98.21, 92.40 degrees
Fractional coordinates of all 8 atoms:
1 Rb 0.0000 0.0000 0.0000
2 Hg 0.5000 0.5000 0.5000
3 H 0.0598 0.0598 0.5252
4 H 0.1771 0.5463 0.3072
5 H 0.4537 0.8229 0.6928
6 H 0.5463 0.1771 0.3072
7 H 0.8229 0.4537 0.6928
8 H 0.9402 0.9402 0.4748

Properties
Space-group type ... C2/m
Uncorrected energy ... -2.450 eV/atom
Density of states at the Fermi level ... 2.13 states/eV/cell

***

A geometry-optimized Rb2HgH structure. Source: Alexandria via LeMat-Bulk, functional PBE.

Cell lengths 5.9597, 5.9597, 5.9597 Å; angles 60.00, 60.00, 60.00 degrees
Fractional coordinates of all 4 atoms:
1 Rb 0.2500 0.2500 0.2500
2 Rb 0.7500 0.7500 0.7500
3 Hg 0.0000 0.0000 0.0000
4 H 0.5000 0.5000 0.5000

Properties
Space-group type ... Fm-3m
Uncorrected energy ... -1.332 eV/atom
Density of states at the Fermi level ... 2.11 states/eV/cell

***

A geometry-optimized Rb2HgH6 structure. Source: Alexandria via LeMat-Bulk, functional PBE.

Cell lengths 5.7626, 5.7626, 11.9342 Å; angles 98.09, 98.09, 82.89 degrees
Fractional coordinates of all 18 atoms:
1 Rb 0.1486 0.6725 0.6337
2 Rb 0.3275 0.8514 0.3663
3 Rb 0.6725 0.1486 0.6337
4 Rb 0.8514 0.3275 0.3663
5 Hg 0.2983 0.2983 0.1745
6 Hg 0.7017 0.7017 0.8255
7 H 0.0447 0.0447 0.0064
8 H 0.0717 0.5109 0.1550
9 H 0.1680 0.1680 0.5787
10 H 0.3522 0.3522 0.3556
11 H 0.4577 0.4577 0.0044
12 H 0.4891 0.9283 0.8450
13 H 0.5109 0.0717 0.1550
14 H 0.5423 0.5423 0.9956
15 H 0.6478 0.6478 0.6444
16 H 0.8320 0.8320 0.4213
17 H 0.9283 0.4891 0.8450
18 H 0.9553 0.9553 0.9936

Properties
Space-group type ... C2/m
Uncorrected energy ... -2.447 eV/atom
Density of states at the Fermi level ... 0.00 states/eV/cell

***

A geometry-optimized Rb2HgH2 structure. Source: Alexandria via LeMat-Bulk, functional PBE.

Cell lengths 6.9753, 6.9753, 6.9753 Å; angles 135.47, 135.47, 64.81 degrees
Fractional coordinates of all 5 atoms:
1 Rb 0.1742 0.1742 0.0000
2 Rb 0.8258 0.8258 0.0000
3 Hg 0.5000 0.5000 0.0000
4 H 0.2500 0.7500 0.5000
5 H 0.7500 0.2500 0.5000

Properties
Space-group type ... I4/mmm
Uncorrected energy ... -1.823 eV/atom
Density of states at the Fermi level ... 0.00 states/eV/cell

***

A geometry-optimized RbHgH structure. Source: Alexandria via LeMat-Bulk, functional PBE.

Cell lengths 7.3433, 7.2883, 7.0794 Å; angles 90.00, 111.97, 90.00 degrees
Fractional coordinates of all 12 atoms:
1 Rb 0.2358 0.0984 0.3018
2 Rb 0.2358 0.4016 0.8018
3 Rb 0.7642 0.5984 0.1982
4 Rb 0.7642 0.9016 0.6982
5 Hg 0.3089 0.6082 0.3294
6 Hg 0.3089 0.8918 0.8294
7 Hg 0.6911 0.1082 0.1706
8 Hg 0.6911 0.3918 0.6706
9 H 0.4992 0.1819 0.7012
10 H 0.4992 0.3181 0.2012
11 H 0.5008 0.6819 0.7988
12 H 0.5008 0.8181 0.2988

Properties
Space-group type ... P2_1/c
Uncorrected energy ... -1.600 eV/atom

***

A geometry-optimized RbHgH2 structure. Source: Alexandria via LeMat-Bulk, functional PBE.

Cell lengths 5.9292, 5.5469, 7.0901 Å; angles 90.00, 114.33, 90.00 degrees
Fractional coordinates of all 8 atoms:
1 Rb 0.1316 0.2500 0.2704
2 Rb 0.8684 0.7500 0.7296
3 Hg 0.4353 0.2500 0.8691
4 Hg 0.5647 0.7500 0.1309
5 H 0.3253 0.6797 0.6394
6 H 0.3253 0.8203 0.6394
7 H 0.6747 0.1797 0.3606
8 H 0.6747 0.3203 0.3606

Properties
Space-group type ... P2_1/m
Uncorrected energy ... -2.051 eV/atom
Density of states at the Fermi level ... 3.01 states/eV/cell

***

A geometry-optimized Rb2HgH structure. Source: Alexandria via LeMat-Bulk, functional PBE.

Cell lengths 4.2878, 4.2878, 9.4312 Å; angles 103.17, 103.17, 60.03 degrees
Fractional coordinates of all 4 atoms:
1 Rb 0.0000 0.0000 0.0000
2 Rb 0.2053 0.2053 0.6162
3 Hg 0.4357 0.4357 0.3071
4 H 0.6027 0.6027 0.8079

Properties
Space-group type ... Cm
Uncorrected energy ... -1.492 eV/atom
Density of states at the Fermi level ... 2.56 states/eV/cell

***

A geometry-optimized Rb3HgH5 structure. Source: Alexandria via LeMat-Bulk, functional PBE.

Cell lengths 8.2606, 8.2606, 8.2606 Å; angles 122.28, 122.28, 86.09 degrees
Fractional coordinates of all 18 atoms:
1 Rb 0.1814 0.6814 0.8627
2 Rb 0.2500 0.2500 0.0000
3 Rb 0.3186 0.1814 0.5000
4 Rb 0.6814 0.8186 0.5000
5 Rb 0.7500 0.7500 0.0000
6 Rb 0.8186 0.3186 0.1373
7 Hg 0.2500 0.7500 0.5000
8 Hg 0.7500 0.2500 0.5000
9 H 0.0000 0.0000 0.0000
10 H 0.0308 0.7887 0.5000
11 H 0.2113 0.7113 0.2421
12 H 0.2887 0.5308 0.5000
13 H 0.4692 0.9692 0.7579
14 H 0.5000 0.5000 0.0000
15 H 0.5308 0.0308 0.2421
16 H 0.7113 0.4692 0.5000
17 H 0.7887 0.2887 0.7579
18 H 0.9692 0.2113 0.5000

Properties
Space-group type ... I4/mcm
Uncorrected energy ... -2.354 eV/atom
Density of states at the Fermi level ... 0.00 states/eV/cell

***

A geometry-optimized Rb3Hg2H structure. Source: Alexandria via LeMat-Bulk, functional PBE.

Cell lengths 8.3629, 8.3629, 8.0040 Å; angles 90.00, 90.00, 120.00 degrees
Fractional coordinates of all 12 atoms:
1 Rb 0.1542 0.3083 0.2500
2 Rb 0.1542 0.8458 0.2500
3 Rb 0.3083 0.1542 0.7500
4 Rb 0.6917 0.8458 0.2500
5 Rb 0.8458 0.1542 0.7500
6 Rb 0.8458 0.6917 0.7500
7 Hg 0.3333 0.6667 0.5700
8 Hg 0.3333 0.6667 0.9300
9 Hg 0.6667 0.3333 0.0700
10 Hg 0.6667 0.3333 0.4300
11 H 0.0000 0.0000 0.0000
12 H 0.0000 0.0000 0.5000

Properties
Space-group type ... P6_3/mmc
Uncorrected energy ... -1.276 eV/atom
Density of states at the Fermi level ... 6.31 states/eV/cell

***

A geometry-optimized RbHg2H2 structure. Source: Alexandria via LeMat-Bulk, functional PBE.

Cell lengths 7.8610, 7.8610, 3.5846 Å; angles 90.00, 90.00, 90.00 degrees
Fractional coordinates of all 10 atoms:
1 Rb 0.0000 0.0000 0.0000
2 Rb 0.5000 0.5000 0.0000
3 Hg 0.1299 0.3701 0.5000
4 Hg 0.3701 0.8701 0.5000
5 Hg 0.6299 0.1299 0.5000
6 Hg 0.8701 0.6299 0.5000
7 H 0.1293 0.6293 0.0000
8 H 0.3707 0.1293 0.0000
9 H 0.6293 0.8707 0.0000
10 H 0.8707 0.3707 0.0000

Properties
Space-group type ... P4/mbm
Uncorrected energy ... -1.266 eV/atom
Density of states at the Fermi level ... 2.30 states/eV/cell

***

A geometry-optimized Rb2Hg2H4Rh structure. Source: Alexandria via LeMat-Bulk, functional PBE.

Cell lengths 6.3047, 6.3047, 6.3047 Å; angles 113.74, 113.74, 101.24 degrees
Fractional coordinates of all 9 atoms:
1 Rb 0.2500 0.7500 0.5000
2 Rb 0.7500 0.2500 0.5000
3 Hg 0.1747 0.1747 0.0000
4 Hg 0.8253 0.8253 0.0000
5 H 0.3263 0.3263 0.6526
6 H 0.3263 0.6737 0.0000
7 H 0.6737 0.3263 0.0000
8 H 0.6737 0.6737 0.3474
9 Rh 0.5000 0.5000 0.0000

Properties
Space-group type ... I4/mmm
Uncorrected energy ... -2.767 eV/atom
Density of states at the Fermi level ... 1.82 states/eV/cell

***

A geometry-optimized Rb2HgSbH structure. Source: Alexandria via LeMat-Bulk, functional PBE.

Cell lengths 6.2597, 6.2597, 4.2458 Å; angles 90.00, 90.00, 90.00 degrees
Fractional coordinates of all 5 atoms:
1 Rb 0.0000 0.5000 0.0000
2 Rb 0.5000 0.0000 0.0000
3 Hg 0.0000 0.0000 0.5000
4 Sb 0.5000 0.5000 0.5000
5 H 0.5000 0.5000 0.0000

Properties
Space-group type ... P4/mmm
Uncorrected energy ... -2.120 eV/atom
Density of states at the Fermi level ... 1.44 states/eV/cell

***

A geometry-optimized Rb2HgHSe2 structure. Source: Alexandria via LeMat-Bulk, functional PBE.

Cell lengths 8.6729, 8.6729, 8.6729 Å; angles 128.95, 73.34, 131.16 degrees
Fractional coordinates of all 12 atoms:
1 Rb 0.1409 0.1689 0.3098
2 Rb 0.3591 0.6689 0.0280
3 Rb 0.6409 0.3311 0.9720
4 Rb 0.8591 0.8311 0.6902
5 Hg 0.2500 0.7500 0.5000
6 Hg 0.7500 0.2500 0.5000
7 H 0.2500 0.2500 0.0000
8 H 0.7500 0.7500 0.0000
9 Se 0.1065 0.6960 0.8025
10 Se 0.3935 0.1960 0.5895
11 Se 0.6065 0.8040 0.4105
12 Se 0.8935 0.3040 0.1975

Properties
Space-group type ... Ibam
Uncorrected energy ... -2.454 eV/atom
Density of states at the Fermi level ... 1.42 states/eV/cell

***

A geometry-optimized Rb2HgTe2H structure. Source: Alexandria via LeMat-Bulk, functional PBE.

Cell lengths 9.0383, 9.0383, 9.0383 Å; angles 127.30, 74.22, 131.76 degrees
Fractional coordinates of all 12 atoms:
1 Rb 0.1324 0.1603 0.2928
2 Rb 0.3676 0.6603 0.0279
3 Rb 0.6324 0.3397 0.9721
4 Rb 0.8676 0.8397 0.7072
5 Hg 0.2500 0.7500 0.5000
6 Hg 0.7500 0.2500 0.5000
7 Te 0.1062 0.7046 0.8109
8 Te 0.3938 0.2046 0.5984
9 Te 0.6062 0.7954 0.4016
10 Te 0.8938 0.2954 0.1891
11 H 0.2500 0.2500 0.0000
12 H 0.7500 0.7500 0.0000

Properties
Space-group type ... Ibam
Uncorrected energy ... -2.290 eV/atom
Density of states at the Fermi level ... 2.39 states/eV/cell

***

A geometry-optimized Rb2HgTe2H2 structure. Source: Alexandria via LeMat-Bulk, functional PBE.

Cell lengths 5.2974, 5.2974, 10.6925 Å; angles 96.00, 96.00, 89.26 degrees
Fractional coordinates of all 7 atoms:
1 Rb 0.2076 0.2076 0.1700
2 Rb 0.7924 0.7924 0.8300
3 Hg 0.5000 0.5000 0.5000
4 Te 0.2931 0.2931 0.8293
5 Te 0.7069 0.7069 0.1707
6 H 0.1696 0.1696 0.6850
7 H 0.8304 0.8304 0.3150

Properties
Space-group type ... C2/m
Uncorrected energy ... -2.579 eV/atom
Density of states at the Fermi level ... 0.00 states/eV/cell

***

A geometry-optimized RbTl2HgH structure. Source: Alexandria via LeMat-Bulk, functional PBE.

Cell lengths 5.1331, 5.1331, 5.4107 Å; angles 90.00, 90.00, 90.00 degrees
Fractional coordinates of all 5 atoms:
1 Rb 0.0000 0.0000 0.0000
2 Tl 0.0000 0.5000 0.5000
3 Tl 0.5000 0.0000 0.5000
4 Hg 0.5000 0.5000 0.0000
5 H 0.0000 0.0000 0.5000

Properties
Space-group type ... P4/mmm
Uncorrected energy ... -1.789 eV/atom
Density of states at the Fermi level ... 2.33 states/eV/cell

***

A geometry-optimized Rb2TlHgH structure. Source: Alexandria via LeMat-Bulk, functional PBE.

Cell lengths 5.6665, 5.6665, 5.2098 Å; angles 90.00, 90.00, 90.00 degrees
Fractional coordinates of all 5 atoms:
1 Rb 0.0000 0.5000 0.0000
2 Rb 0.5000 0.0000 0.0000
3 Tl 0.0000 0.0000 0.5000
4 Hg 0.5000 0.5000 0.5000
5 H 0.0000 0.0000 0.0000

Properties
Space-group type ... P4/mmm
Uncorrected energy ... -1.615 eV/atom
Density of states at the Fermi level ... 3.60 states/eV/cell

***

A geometry-optimized Rb2Zn2HgH6 structure. Source: Alexandria via LeMat-Bulk, functional PBE.

Cell lengths 5.4200, 6.7144, 7.2564 Å; angles 100.14, 104.21, 108.71 degrees
Fractional coordinates of all 11 atoms:
1 Rb 0.0547 0.2943 0.2416
2 Rb 0.9453 0.7057 0.7584
3 Zn 0.3252 0.3694 0.8360
4 Zn 0.6748 0.6306 0.1640
5 Hg 0.5000 0.0000 0.5000
6 H 0.1032 0.1471 0.8406
7 H 0.3135 0.4723 0.6500
8 H 0.3361 0.5828 0.0343
9 H 0.6639 0.4172 0.9657
10 H 0.6865 0.5277 0.3500
11 H 0.8968 0.8529 0.1594

Properties
Space-group type ... P-1
Uncorrected energy ... -2.396 eV/atom
Density of states at the Fermi level ... 0.00 states/eV/cell

***

A geometry-optimized Re3HgH structure. Source: Alexandria via LeMat-Bulk, functional PBE.

Cell lengths 4.0425, 4.0425, 4.0425 Å; angles 90.00, 90.00, 90.00 degrees
Fractional coordinates of all 5 atoms:
1 Re 0.0000 0.0000 0.5000
2 Re 0.0000 0.5000 0.0000
3 Re 0.5000 0.0000 0.0000
4 Hg 0.5000 0.5000 0.5000
5 H 0.0000 0.0000 0.0000

Properties
Space-group type ... Pm-3m
Uncorrected energy ... -7.432 eV/atom
Density of states at the Fermi level ... 5.30 states/eV/cell

***

A geometry-optimized ReHg2H structure. Source: Alexandria via LeMat-Bulk, functional PBE.

Cell lengths 5.4723, 5.4723, 5.4723 Å; angles 105.56, 105.56, 117.62 degrees
Fractional coordinates of all 8 atoms:
1 Re 0.0000 0.0000 0.0000
2 Re 0.7500 0.2500 0.5000
3 Hg 0.2003 0.1250 0.5753
4 Hg 0.3750 0.7997 0.9247
5 Hg 0.5497 0.6250 0.4247
6 Hg 0.8750 0.4503 0.0753
7 H 0.2500 0.7500 0.5000
8 H 0.5000 0.5000 0.0000

Properties
Space-group type ... I-42d
Uncorrected energy ... -2.916 eV/atom
Density of states at the Fermi level ... 1.59 states/eV/cell